Sr2MgSb: relaxed, PBE.

abc: 5.9765 5.9765 5.9765
angles: 125.63 125.63 80.49
Fractional coordinates of all 4 atoms:
Sr 0.2500 0.7500 0.5000
Sr 0.7500 0.2500 0.5000
Mg 0.0000 0.0000 0.0000
Sb 0.5000 0.5000 0.0000

Summary:
relative energy among the computed polymorphs = 124.2 meV per atom
formation energy from raw total energies = -477 meV per atom
magnetization = 0.0 Bohr magnetons per cell
final energy = -0.1010 hartree per atom
DOS(E_F) = 0.641 states/eV/atom

---

SrMg2Sb: relaxed, PBE.

abc: 3.9756 3.9756 7.4269
angles: 90.00 90.00 90.00
Fractional coordinates of all 4 atoms:
Sr 0.0000 0.0000 0.0000
Mg 0.0000 0.0000 0.5337
Mg 0.5000 0.5000 0.3215
Sb 0.5000 0.5000 0.7202

Summary:
formation energy from raw total energies = -303 meV per atom
magnetization = 0.0 Bohr magnetons per cell
final energy = -0.0938 hartree per atom
DOS(E_F) = 0.610 states/eV/atom

---

SrMg2Sb: relaxed, PBE.

abc: 4.6269 5.0473 5.5888
angles: 90.00 100.60 90.00
Fractional coordinates of all 4 atoms:
Sr 0.0000 0.0000 0.0000
Mg 0.3677 0.5000 0.7318
Mg 0.6323 0.5000 0.2682
Sb 0.5000 0.0000 0.5000

Summary:
formation energy from raw total energies = -275 meV per atom
magnetization = 0.0 Bohr magnetons per cell
final energy = -0.0927 hartree per atom
DOS(E_F) = 0.333 states/eV/atom

---

Sr2MgSb2: relaxed, PBE.

abc: 8.3532 8.3532 4.7159
angles: 90.00 90.00 90.00
Fractional coordinates of all 10 atoms:
Sr 0.1509 0.3491 0.0000
Sr 0.3491 0.8491 0.0000
Sr 0.6509 0.1509 0.0000
Sr 0.8491 0.6509 0.0000
Mg 0.0000 0.0000 0.5000
Mg 0.5000 0.5000 0.5000
Sb 0.1591 0.6591 0.5000
Sb 0.3409 0.1591 0.5000
Sb 0.6591 0.8409 0.5000
Sb 0.8409 0.3409 0.5000

Summary:
formation energy from raw total energies = -702 meV per atom
magnetization = 0.0 Bohr magnetons per cell
final energy = -0.1228 hartree per atom
DOS(E_F) = 0.654 states/eV/atom

---

SrMgSb3: relaxed, PBE.

abc: 5.9655 5.9655 5.9655
angles: 90.00 90.00 90.00
Fractional coordinates of all 5 atoms:
Sr 0.0000 0.0000 0.0000
Mg 0.5000 0.5000 0.5000
Sb 0.0000 0.0000 0.5000
Sb 0.0000 0.5000 0.0000
Sb 0.5000 0.0000 0.0000

Summary:
relative energy among the computed polymorphs = 802.7 meV per atom
formation energy from raw total energies = 708 meV per atom
magnetization = 0.0 Bohr magnetons per cell
final energy = -0.0890 hartree per atom
DOS(E_F) = 1.034 states/eV/atom

---

SrMgSb: relaxed, PBE.

abc: 4.8232 4.8232 4.7087
angles: 90.00 90.00 120.00
Fractional coordinates of all 3 atoms:
Sr 0.0000 0.0000 0.0000
Mg 0.6667 0.3333 0.4967
Sb 0.3333 0.6667 0.5024

Summary:
relative energy among the computed polymorphs = 0.0 meV per atom
formation energy from raw total energies = -614 meV per atom
magnetization = 0.0 Bohr magnetons per cell
final energy = -0.1132 hartree per atom
DOS(E_F) = 0.433 states/eV/atom

---

SrMg2Sb: relaxed, PBE.

abc: 5.4994 5.4994 5.4994
angles: 60.00 60.00 60.00
Fractional coordinates of all 4 atoms:
Sr 0.0000 0.0000 0.0000
Mg 0.2500 0.2500 0.2500
Mg 0.5000 0.5000 0.5000
Sb 0.7500 0.7500 0.7500

Summary:
formation energy from raw total energies = -228 meV per atom
magnetization = 0.0 Bohr magnetons per cell
final energy = -0.0910 hartree per atom
DOS(E_F) = 0.641 states/eV/atom

---

Sr2MgSb: relaxed, PBE.

abc: 5.8184 5.8184 5.8184
angles: 60.00 60.00 60.00
Fractional coordinates of all 4 atoms:
Sr 0.0000 0.0000 0.0000
Sr 0.2500 0.2500 0.2500
Mg 0.7500 0.7500 0.7500
Sb 0.5000 0.5000 0.5000

Summary:
relative energy among the computed polymorphs = 436.1 meV per atom
formation energy from raw total energies = -165 meV per atom
magnetization = 0.0 Bohr magnetons per cell
final energy = -0.0895 hartree per atom
DOS(E_F) = 0.428 states/eV/atom

---

SrMg2Sb: relaxed, PBE.

abc: 7.7699 7.7699 7.7699
angles: 34.51 34.51 34.51
Fractional coordinates of all 4 atoms:
Sr 0.0000 0.0000 0.0000
Mg 0.2222 0.2222 0.2222
Mg 0.7778 0.7778 0.7778
Sb 0.5000 0.5000 0.5000

Summary:
formation energy from raw total energies = -199 meV per atom
magnetization = 0.0 Bohr magnetons per cell
final energy = -0.0899 hartree per atom
DOS(E_F) = 0.512 states/eV/atom

---

SrMgSb: relaxed, PBE.

abc: 5.2666 5.2666 5.2666
angles: 60.00 60.00 60.00
Fractional coordinates of all 3 atoms:
Sr 0.0000 0.0000 0.0000
Mg 0.5000 0.5000 0.5000
Sb 0.2500 0.2500 0.2500

Summary:
relative energy among the computed polymorphs = 178.7 meV per atom
formation energy from raw total energies = -435 meV per atom
magnetization = 0.0 Bohr magnetons per cell
final energy = -0.1066 hartree per atom
DOS(E_F) = 0.923 states/eV/atom

---

SrMg3Sb: relaxed, PBE.

abc: 6.0343 6.0343 6.0343
angles: 90.00 90.00 90.00
Fractional coordinates of all 5 atoms:
Sr 0.0000 0.0000 0.0000
Mg 0.0000 0.0000 0.5000
Mg 0.0000 0.5000 0.0000
Mg 0.5000 0.0000 0.0000
Sb 0.5000 0.5000 0.5000

Summary:
relative energy among the computed polymorphs = 951.7 meV per atom
formation energy from raw total energies = 1069 meV per atom
magnetization = 0.0 Bohr magnetons per cell
final energy = -0.0385 hartree per atom
DOS(E_F) = 1.114 states/eV/atom

---

SrMgSb3: relaxed, PBE.

abc: 5.4661 5.4661 5.4661
angles: 90.00 90.00 90.00
Fractional coordinates of all 5 atoms:
Sr 0.0000 0.0000 0.0000
Mg 0.5000 0.5000 0.5000
Sb 0.0000 0.5000 0.5000
Sb 0.5000 0.0000 0.5000
Sb 0.5000 0.5000 0.0000

Summary:
relative energy among the computed polymorphs = 0.0 meV per atom
formation energy from raw total energies = -95 meV per atom
magnetization = 0.0 Bohr magnetons per cell
final energy = -0.1185 hartree per atom
DOS(E_F) = 0.661 states/eV/atom

---

SrMgSb: relaxed, PBE.

abc: 6.4781 6.4781 6.4781
angles: 146.05 142.26 51.66
Fractional coordinates of all 3 atoms:
Sr 0.0000 0.0000 0.0000
Mg 0.7046 0.7046 0.0000
Sb 0.3136 0.3136 0.0000

Summary:
relative energy among the computed polymorphs = 198.7 meV per atom
formation energy from raw total energies = -415 meV per atom
magnetization = 0.0 Bohr magnetons per cell
final energy = -0.1059 hartree per atom
DOS(E_F) = 0.530 states/eV/atom

---

Sr2MgSb: relaxed, PBE.

abc: 11.2109 11.2109 11.2109
angles: 149.46 149.46 43.74
Fractional coordinates of all 8 atoms:
Sr 0.1043 0.6250 0.9793
Sr 0.3750 0.3543 0.4793
Sr 0.6457 0.1250 0.0207
Sr 0.8750 0.8957 0.5207
Mg 0.2500 0.7500 0.5000
Mg 0.5000 0.5000 0.0000
Sb 0.0000 0.0000 0.0000
Sb 0.7500 0.2500 0.5000

Summary:
relative energy among the computed polymorphs = 542.0 meV per atom
formation energy from raw total energies = -60 meV per atom
magnetization = 0.0 Bohr magnetons per cell
final energy = -0.0856 hartree per atom
DOS(E_F) = 0.256 states/eV/atom

---

Sr4MgSb: relaxed, PBE.

abc: 7.1415 7.1415 7.1415
angles: 60.00 60.00 60.00
Fractional coordinates of all 6 atoms:
Sr 0.3758 0.3758 0.3758
Sr 0.3758 0.3758 0.8726
Sr 0.3758 0.8726 0.3758
Sr 0.8726 0.3758 0.3758
Mg 0.0000 0.0000 0.0000
Sb 0.7500 0.7500 0.7500

Summary:
formation energy from raw total energies = 247 meV per atom
magnetization = 0.0 Bohr magnetons per cell
final energy = -0.0671 hartree per atom
DOS(E_F) = 1.249 states/eV/atom

---

Sr2MgSb2: relaxed, PBE.

abc: 9.5955 9.5955 3.7153
angles: 90.00 90.00 90.00
Fractional coordinates of all 10 atoms:
Sr 0.1352 0.3648 0.0000
Sr 0.3648 0.8648 0.0000
Sr 0.6352 0.1352 0.0000
Sr 0.8648 0.6352 0.0000
Mg 0.0000 0.0000 0.0000
Mg 0.5000 0.5000 0.0000
Sb 0.1661 0.6661 0.5000
Sb 0.3339 0.1661 0.5000
Sb 0.6661 0.8339 0.5000
Sb 0.8339 0.3339 0.5000

Summary:
formation energy from raw total energies = -486 meV per atom
magnetization = 0.0 Bohr magnetons per cell
final energy = -0.1149 hartree per atom
DOS(E_F) = 0.584 states/eV/atom

---

Sr2MgSb: relaxed, PBE.

abc: 5.7995 5.7995 5.7995
angles: 60.00 60.00 60.00
Fractional coordinates of all 4 atoms:
Sr 0.2500 0.2500 0.2500
Sr 0.7500 0.7500 0.7500
Mg 0.0000 0.0000 0.0000
Sb 0.5000 0.5000 0.5000

Summary:
relative energy among the computed polymorphs = 128.7 meV per atom
formation energy from raw total energies = -473 meV per atom
magnetization = 0.0 Bohr magnetons per cell
final energy = -0.1008 hartree per atom
DOS(E_F) = 1.014 states/eV/atom

---

SrMg2Sb: relaxed, PBE.

abc: 7.1667 7.1667 7.1667
angles: 101.66 101.66 126.57
Fractional coordinates of all 8 atoms:
Sr 0.0000 0.0000 0.0000
Sr 0.7500 0.2500 0.5000
Mg 0.1898 0.6250 0.0648
Mg 0.3750 0.4398 0.5648
Mg 0.5602 0.1250 0.9352
Mg 0.8750 0.8102 0.4352
Sb 0.2500 0.7500 0.5000
Sb 0.5000 0.5000 0.0000

Summary:
formation energy from raw total energies = -216 meV per atom
magnetization = 0.0 Bohr magnetons per cell
final energy = -0.0906 hartree per atom
DOS(E_F) = 1.335 states/eV/atom

---

Sr2MgSb: relaxed, PBE.

abc: 4.0661 4.3906 7.6981
angles: 90.00 90.00 90.00
Fractional coordinates of all 4 atoms:
Sr 0.0000 0.0000 0.2312
Sr 0.0000 0.0000 0.7688
Mg 0.5000 0.5000 0.5000
Sb 0.5000 0.5000 0.0000

Summary:
relative energy among the computed polymorphs = 66.1 meV per atom
formation energy from raw total energies = -535 meV per atom
magnetization = 0.0 Bohr magnetons per cell
final energy = -0.1031 hartree per atom
DOS(E_F) = 0.357 states/eV/atom

---

Sr2MgSb2: relaxed, PBE.

abc: 9.6706 9.6706 9.6706
angles: 152.93 152.93 38.66
Fractional coordinates of all 5 atoms:
Sr 0.1136 0.1136 0.0000
Sr 0.8864 0.8864 0.0000
Mg 0.5000 0.5000 0.0000
Sb 0.2500 0.7500 0.5000
Sb 0.7500 0.2500 0.5000

Summary:
formation energy from raw total energies = -318 meV per atom
magnetization = 0.0 Bohr magnetons per cell
final energy = -0.1087 hartree per atom
DOS(E_F) = 0.584 states/eV/atom

---

Sr2Mg2Sb3: relaxed, PBE.

abc: 9.0909 9.0909 13.1988
angles: 124.41 124.41 30.38
Fractional coordinates of all 14 atoms:
Sr 0.1075 0.1075 0.4562
Sr 0.2334 0.2334 0.8325
Sr 0.7666 0.7666 0.1675
Sr 0.8925 0.8925 0.5438
Mg 0.0860 0.0860 0.1572
Mg 0.4586 0.4586 0.1843
Mg 0.5414 0.5414 0.8157
Mg 0.9140 0.9140 0.8428
Sb 0.1200 0.1200 0.9678
Sb 0.3423 0.3423 0.6881
Sb 0.4167 0.4167 0.3718
Sb 0.5833 0.5833 0.6282
Sb 0.6577 0.6577 0.3119
Sb 0.8800 0.8800 0.0322

Summary:
formation energy from raw total energies = -802 meV per atom
magnetization = 0.0 Bohr magnetons per cell
final energy = -0.1288 hartree per atom
DOS(E_F) = 0.009 states/eV/atom

---

SrMg3Sb3: relaxed, PBE.

abc: 9.1765 9.1765 9.1765
angles: 53.05 53.05 53.05
Fractional coordinates of all 14 atoms:
Sr 0.1659 0.1659 0.1659
Sr 0.8341 0.8341 0.8341
Mg 0.0469 0.7075 0.3735
Mg 0.2925 0.6265 0.9531
Mg 0.3735 0.0469 0.7075
Mg 0.6265 0.9531 0.2925
Mg 0.7075 0.3735 0.0469
Mg 0.9531 0.2925 0.6265
Sb 0.0795 0.4175 0.7482
Sb 0.2518 0.9205 0.5825
Sb 0.4175 0.7482 0.0795
Sb 0.5825 0.2518 0.9205
Sb 0.7482 0.0795 0.4175
Sb 0.9205 0.5825 0.2518

Summary:
formation energy from raw total energies = -513 meV per atom
magnetization = 0.0 Bohr magnetons per cell
final energy = -0.1177 hartree per atom
DOS(E_F) = 0.700 states/eV/atom

---

Sr2MgSb: relaxed, PBE.

abc: 4.7093 6.7675 6.7675
angles: 42.19 90.00 90.00
Fractional coordinates of all 4 atoms:
Sr 0.0000 0.0000 0.0000
Sr 0.5000 0.2837 0.2837
Mg 0.0000 0.7103 0.7103
Sb 0.5000 0.5634 0.5634

Summary:
relative energy among the computed polymorphs = 0.0 meV per atom
formation energy from raw total energies = -602 meV per atom
magnetization = 0.0 Bohr magnetons per cell
final energy = -0.1055 hartree per atom
DOS(E_F) = 0.511 states/eV/atom

---

SrMgSbTe2: relaxed, PBE.

abc: 6.0729 6.0729 6.0533
angles: 90.00 90.00 90.00
Fractional coordinates of all 5 atoms:
Sr 0.0000 0.0000 0.0000
Mg 0.5000 0.5000 0.5000
Sb 0.0000 0.0000 0.5000
Te 0.0000 0.5000 0.0000
Te 0.5000 0.0000 0.0000

Summary:
relative energy among the computed polymorphs = 751.2 meV per atom
formation energy from raw total energies = 338 meV per atom
magnetization = 0.0 Bohr magnetons per cell
final energy = -0.0881 hartree per atom
DOS(E_F) = 1.431 states/eV/atom

---

SrMgSbTe2: relaxed, PBE.

abc: 5.6839 5.6839 5.2730
angles: 90.00 90.00 90.00
Fractional coordinates of all 5 atoms:
Sr 0.0000 0.0000 0.0000
Mg 0.5000 0.5000 0.5000
Sb 0.5000 0.5000 0.0000
Te 0.0000 0.5000 0.5000
Te 0.5000 0.0000 0.5000

Summary:
relative energy among the computed polymorphs = 0.0 meV per atom
formation energy from raw total energies = -413 meV per atom
magnetization = 0.0 Bohr magnetons per cell
final energy = -0.1157 hartree per atom
DOS(E_F) = 0.906 states/eV/atom

---

SrMg2TlSb: relaxed, PBE.

abc: 6.0472 6.0472 6.0846
angles: 90.00 90.00 90.00
Fractional coordinates of all 5 atoms:
Sr 0.0000 0.0000 0.0000
Mg 0.0000 0.5000 0.0000
Mg 0.5000 0.0000 0.0000
Tl 0.0000 0.0000 0.5000
Sb 0.5000 0.5000 0.5000

Summary:
formation energy from raw total energies = 928 meV per atom
magnetization = 0.0 Bohr magnetons per cell
final energy = -0.0494 hartree per atom
DOS(E_F) = 0.897 states/eV/atom

---

MgTaSb2: relaxed, PBE.

abc: 5.0609 5.0609 5.7140
angles: 99.33 99.33 38.94
Fractional coordinates of all 4 atoms:
Mg 0.0000 0.0000 0.0000
Ta 0.5000 0.5000 0.5000
Sb 0.2312 0.2312 0.7179
Sb 0.7688 0.7688 0.2821

Summary:
formation energy from raw total energies = 182 meV per atom
magnetization = 0.0 Bohr magnetons per cell
final energy = -0.1926 hartree per atom
DOS(E_F) = 0.798 states/eV/atom

---

MgTa2Sb: relaxed, PBE.

abc: 3.0551 3.0551 8.4806
angles: 90.00 90.00 90.00
Fractional coordinates of all 4 atoms:
Mg 0.0000 0.0000 0.0000
Ta 0.5000 0.5000 0.2518
Ta 0.5000 0.5000 0.7482
Sb 0.0000 0.0000 0.5000

Summary:
relative energy among the computed polymorphs = 387.7 meV per atom
formation energy from raw total energies = 444 meV per atom
magnetization = 0.0 Bohr magnetons per cell
final energy = -0.2540 hartree per atom
DOS(E_F) = 0.494 states/eV/atom